1) # RbSr2Cd2 (PBE, optimized geometry)
# Total moment ... 0.00 μB per formula unit
# N(E_F) ... 11.5 states/eV per cell
# V ... 39.83 Å³/atom
# SG ... P4/mbm, No. 127
data_RbSr2Cd2
_cell_length_a 10.017
_cell_length_b 10.017
_cell_length_c 3.970
_cell_angle_alpha 90.00
_cell_angle_beta 90.00
_cell_angle_gamma 90.00
_space_group_name_H-M_alt 'P 1'
_space_group_IT_number 1
loop_
_space_group_symop_operation_xyz
'x,y,z'
loop_
_atom_site_label
_atom_site_fract_x
_atom_site_fract_y
_atom_site_fract_z
Rb1 0.000 0.000 0.000
Rb2 0.500 0.500 0.000
Cd1 0.158 0.658 0.500
Sr1 0.866 0.634 0.000
Cd2 0.842 0.342 0.500
Sr2 0.134 0.366 0.000
Cd3 0.342 0.158 0.500
Sr3 0.366 0.866 0.000
Cd4 0.658 0.842 0.500
Sr4 0.634 0.134 0.000

***

2) # RbSr2Cd2 (PBE, optimized geometry)
# Total moment ... 0.00 μB per formula unit
# N(E_F) ... 4.3 states/eV per cell
# V ... 45.34 Å³/atom
# SG ... I4/mmm, No. 139
data_RbSr2Cd2
_cell_length_a 5.741
_cell_length_b 5.741
_cell_length_c 7.986
_cell_angle_alpha 68.93
_cell_angle_beta 68.93
_cell_angle_gamma 90.00
_space_group_name_H-M_alt 'P 1'
_space_group_IT_number 1
loop_
_space_group_symop_operation_xyz
'x,y,z'
loop_
_atom_site_label
_atom_site_fract_x
_atom_site_fract_y
_atom_site_fract_z
Cd1 0.606 0.606 0.789
Sr1 0.250 0.750 0.500
Rb1 0.000 0.000 0.000
Sr2 0.750 0.250 0.500
Cd2 0.394 0.394 0.211

***

3) # RbSr2Cd2 (PBE, optimized geometry)
# Total moment ... 0.00 μB per formula unit
# N(E_F) ... 6.5 states/eV per cell
# V ... 41.20 Å³/atom
# SG ... P4/mbm, No. 127
data_RbSr2Cd2
_cell_length_a 9.511
_cell_length_b 9.511
_cell_length_c 4.555
_cell_angle_alpha 90.00
_cell_angle_beta 90.00
_cell_angle_gamma 90.00
_space_group_name_H-M_alt 'P 1'
_space_group_IT_number 1
loop_
_space_group_symop_operation_xyz
'x,y,z'
loop_
_atom_site_label
_atom_site_fract_x
_atom_site_fract_y
_atom_site_fract_z
Cd1 0.124 0.376 0.000
Cd2 0.876 0.624 0.000
Sr1 0.658 0.842 0.500
Rb1 0.000 0.000 0.000
Sr2 0.342 0.158 0.500
Cd3 0.624 0.124 0.000
Cd4 0.376 0.876 0.000
Sr3 0.842 0.342 0.500
Sr4 0.158 0.658 0.500
Rb2 0.500 0.500 0.000

***

4) # RbSr2Cd2 (PBE, optimized geometry)
# Total moment ... 0.00 μB per formula unit
# N(E_F) ... 4.8 states/eV per cell
# V ... 48.75 Å³/atom
# SG ... I4/mmm, No. 139
data_RbSr2Cd2
_cell_length_a 4.385
_cell_length_b 4.385
_cell_length_c 13.052
_cell_angle_alpha 80.33
_cell_angle_beta 80.33
_cell_angle_gamma 90.00
_space_group_name_H-M_alt 'P 1'
_space_group_IT_number 1
loop_
_space_group_symop_operation_xyz
'x,y,z'
loop_
_atom_site_label
_atom_site_fract_x
_atom_site_fract_y
_atom_site_fract_z
Cd1 0.250 0.750 0.500
Sr1 0.644 0.644 0.711
Cd2 0.750 0.250 0.500
Sr2 0.356 0.356 0.289
Rb1 0.000 0.000 0.000

***

It is 4) that is the least stable of them.